Na2MgIn: optimized geometry, PBE. Values from VASP.

```
&SYSTEM
  ibrav = 0, nat = 4, ntyp = 3
/
ATOMIC_SPECIES
Na 22.99 Na.upf
In 114.82 In.upf
Mg 24.30 Mg.upf
ATOMIC_POSITIONS angstrom
Na 0.0000 0.0000 1.6395
In 2.0261 2.0261 0.0000
Na 0.0000 0.0000 5.1141
Mg 2.0261 2.0261 3.3768
CELL_PARAMETERS angstrom
4.0521 0.0000 0.0000
0.0000 4.0521 0.0000
0.0000 0.0000 6.7536
```

* total DFT energy (no corrections): -6.843 eV per cell

=====

NaMg7In12: optimized geometry, PBE. Values from VASP.

```
&SYSTEM
  ibrav = 0, nat = 20, ntyp = 3
/
ATOMIC_SPECIES
In 114.82 In.upf
Mg 24.30 Mg.upf
Na 22.99 Na.upf
ATOMIC_POSITIONS angstrom
In -5.8715 -4.0382 3.9490
In -0.7207 -3.0019 -0.9559
Mg 2.7531 -1.9995 4.2038
In 5.2460 -4.7476 -0.7604
In 0.9297 -6.9835 1.0028
Mg -1.4486 0.0549 4.4537
Mg 4.2017 -2.0544 -0.2499
In 4.3997 -4.2496 5.3815
In 0.0952 -5.7839 4.1444
Na 0.0000 0.0000 0.0000
In -2.3929 -6.4480 1.8264
In 0.3653 -7.2545 -3.6898
Mg 1.1358 -4.4478 -2.8595
Mg -4.5144 -2.3385 1.8442
Mg -3.0658 -2.3934 -2.6095
In -1.5552 -1.8023 2.1857
Mg -0.3127 -4.3929 1.5943
In -5.0252 -4.5362 -2.1929
In -0.9908 -1.5313 6.8784
In 1.7674 -2.3378 1.3621
CELL_PARAMETERS angstrom
-2.8972 0.1098 8.9075
-6.1317 -4.7868 -5.2191
8.4034 -4.1089 -0.4999
```

* total DFT energy (no corrections): -41.385 eV per cell

=====

Na5MgIn6: optimized geometry, PBE. Values from VASP.

```
&SYSTEM
  ibrav = 0, nat = 12, ntyp = 3
/
ATOMIC_SPECIES
In 114.82 In.upf
Na 22.99 Na.upf
Mg 24.30 Mg.upf
ATOMIC_POSITIONS angstrom
In 3.8153 1.0056 3.9180
In 9.6450 1.3640 2.3982
In 8.8541 -0.9283 6.6537
Na 7.0266 1.4249 4.7764
In 3.0755 0.5253 0.8141
In 4.4640 1.4292 7.1918
Na 5.6428 -1.3476 5.7953
Na 6.3602 0.9446 1.6061
Mg 0.0000 0.0000 0.0000
Na 1.3379 0.9768 6.3109
Na 0.6639 0.4725 3.1845
In 8.2054 -1.3519 3.3799
CELL_PARAMETERS angstrom
10.6676 -1.3719 1.0763
2.0528 3.2612 2.1360
-0.0510 -1.8119 7.3594
```

* total DFT energy (no corrections): -25.756 eV per cell

=====

NaMg5In8: optimized geometry, PBE. Values from VASP.

```
&SYSTEM
  ibrav = 0, nat = 14, ntyp = 3
/
ATOMIC_SPECIES
In 114.82 In.upf
Mg 24.30 Mg.upf
Na 22.99 Na.upf
ATOMIC_POSITIONS angstrom
In -3.6122 1.1329 1.6535
Mg -6.6933 1.9625 1.4288
In 0.3512 6.9561 1.9488
In -1.9600 4.3649 0.9395
In -2.8410 0.8828 5.8375
In -4.2447 -2.4219 1.8469
Mg 3.4397 2.9307 5.0633
In 0.3866 3.8682 4.8860
In -2.0250 -2.2928 4.3130
Mg -2.4709 3.2649 3.8994
Mg 1.0682 4.1200 1.8102
Na 0.1313 0.3819 4.9622
Mg -1.4861 -1.0849 1.4006
In -0.4761 1.6562 2.1588
CELL_PARAMETERS angstrom
-2.7996 6.8928 -2.2180
-5.7417 -4.7035 2.2756
4.9361 1.3472 5.8385
```

* total DFT energy (no corrections): -31.536 eV per cell

=====

NaMg3In3: optimized geometry, PBE. Values from VASP.

```
&SYSTEM
  ibrav = 0, nat = 14, ntyp = 3
/
ATOMIC_SPECIES
Na 22.99 Na.upf
Mg 24.30 Mg.upf
In 114.82 In.upf
ATOMIC_POSITIONS angstrom
Na 0.0000 0.0000 0.0000
Mg 0.9878 4.1987 1.3490
In 2.4318 6.4641 2.3250
Mg 3.2848 0.1774 3.0990
In 3.3442 2.5975 1.5792
Mg -1.4876 0.9598 4.1582
In -2.4595 2.4064 6.4238
In 0.8689 -0.6414 4.3884
Mg -2.4001 4.8265 4.9040
In -1.4281 3.3799 2.6385
Mg 4.7882 4.8629 2.5553
In 4.6693 0.0227 5.5948
Na 1.8566 3.5573 5.7374
Mg 2.2534 -0.7961 6.8842
CELL_PARAMETERS angstrom
-2.0627 -1.9470 7.5706
7.6009 1.3283 2.4126
-1.8249 7.7333 1.4916
```

* distance to the lowest polymorph of the same formula: 436 meV/atom

=====

NaMg6In12: optimized geometry, PBE. Values from VASP.

```
&SYSTEM
  ibrav = 0, nat = 19, ntyp = 3
/
ATOMIC_SPECIES
In 114.82 In.upf
Mg 24.30 Mg.upf
Na 22.99 Na.upf
ATOMIC_POSITIONS angstrom
In -5.2313 2.1475 -0.1759
In -7.7985 1.1114 1.6862
In -5.1505 -2.0828 3.4328
In -2.6611 -1.0531 1.7116
Mg -5.6538 -1.0160 0.4398
In -8.1800 -2.0154 2.2311
In -13.6698 1.3139 -0.9269
Mg -10.3684 0.1208 3.4123
In -8.1509 2.2762 -1.4464
Mg -5.9625 0.1400 -2.6275
In -11.1805 2.3436 -2.6480
In -13.2731 0.1985 2.0318
In -11.0996 -1.8867 0.9606
Mg -10.6771 1.2768 0.3449
Na 0.0000 0.0000 0.0000
Mg -8.9977 0.3564 -3.8850
In -3.0578 0.0623 -1.2470
In -8.5324 -0.8506 -0.9014
Mg -7.3332 -0.0956 4.6697
CELL_PARAMETERS angstrom
-4.1782 -0.7613 -6.6894
-4.7254 -3.3346 6.4596
-7.4273 4.3567 1.0147
```

* distance to the lowest polymorph of the same formula: 0 meV/atom

=====

Na2MgIn: optimized geometry, PBE. Values from VASP.

```
&SYSTEM
  ibrav = 0, nat = 4, ntyp = 3
/
ATOMIC_SPECIES
Mg 24.30 Mg.upf
Na 22.99 Na.upf
In 114.82 In.upf
ATOMIC_POSITIONS angstrom
Mg -1.1725 -0.5008 2.3133
Na -1.5223 -1.3049 -1.0541
In -1.3521 -3.6069 1.5497
Na 1.3427 -1.8011 0.2906
CELL_PARAMETERS angstrom
-2.3450 -1.0017 4.6265
-3.0446 -2.6098 -2.1082
2.6854 -3.6023 0.5812
```

* total DFT energy (no corrections): -7.028 eV per cell

=====

NaMg2In10: optimized geometry, PBE. Values from VASP.

```
&SYSTEM
  ibrav = 0, nat = 13, ntyp = 3
/
ATOMIC_SPECIES
In 114.82 In.upf
Na 22.99 Na.upf
Mg 24.30 Mg.upf
ATOMIC_POSITIONS angstrom
In 6.3100 4.8074 4.9157
Na 0.0000 0.0000 0.0000
In 9.4650 5.8709 5.9349
In 1.5775 0.0000 3.7574
In 4.7325 0.0000 3.7574
In 3.1550 4.8074 2.5992
In 6.3100 2.6923 2.5992
In 3.1550 1.6288 1.5800
In 9.4650 2.6923 4.9157
In 6.3100 1.6288 5.9349
Mg 1.5775 3.7498 0.0000
In 6.3100 5.8709 1.5800
Mg 4.7325 3.7498 0.0000
CELL_PARAMETERS angstrom
6.3100 0.0000 0.0000
3.1550 7.4997 0.0000
3.1550 0.0000 7.5149
```

* total DFT energy (no corrections): -31.951 eV per cell

=====

Number 1: size of the total moment 0.000 Bohr magnetons per cell. Number 2: size of the total moment 0.000 Bohr magnetons per cell. Number 3: size of the total moment 0.000 Bohr magnetons per cell. Number 4: size of the total moment 0.000 Bohr magnetons per cell. Number 5: size of the total moment 0.000 Bohr magnetons per cell. Number 6: size of the total moment 0.000 Bohr magnetons per cell. Number 7: size of the total moment 0.000 Bohr magnetons per cell. Number 8: size of the total moment 0.000 Bohr magnetons per cell.